Entry 1:
This record from Alexandria describes a relaxed structure of MnTlAgTe3. The functional is GGA-PBE.

Lattice parameters (Å, degrees): 8.4971 4.0191 10.4731 90.00 110.40 90.00
Last column: nearest neighbours and their distance in Å.
Element x y z (fractional)
Mn 0.1935 0.2500 0.1554  6 Te 2.75-2.77
Mn 0.8065 0.7500 0.8446  6 Te 2.75-2.77
Tl 0.2514 0.7500 0.7080  7 Te 3.50-3.69, 2 Ag 3.76
Tl 0.7486 0.2500 0.2920  7 Te 3.50-3.69, 2 Ag 3.76
Ag 0.4372 0.7500 0.3941  4 Te 2.78-2.92, 2 Ag 2.91
Ag 0.5628 0.2500 0.6059  4 Te 2.78-2.92, 2 Ag 2.91
Te 0.0415 0.2500 0.8771  3 Mn 2.75-2.77
Te 0.2119 0.2500 0.4245  1 Mn 2.77, 3 Ag 2.87-2.92
Te 0.3968 0.7500 0.1189  2 Mn 2.76, 1 Ag 2.78
Te 0.6032 0.2500 0.8811  2 Mn 2.76, 1 Ag 2.78
Te 0.7881 0.7500 0.5755  1 Mn 2.77, 3 Ag 2.87-2.92
Te 0.9585 0.7500 0.1229  3 Mn 2.75-2.77

Results
Spin magnetization = 3.1 μB/f.u.
Space-group type = P2_1/m, No. 11
Raw formation energy = -0.1753 eV/atom
Density of states at the Fermi level = 0.33 states/eV per atom

Entry 2:
This record from Alexandria describes a relaxed structure of BaEu3S. The functional is GGA-PBE.

Lattice parameters (Å, degrees): 5.8571 5.8571 5.8571 90.00 90.00 90.00
Last column: nearest neighbours and their distance in Å.
Element x y z (fractional)
Ba 0.0000 0.0000 0.0000  12 Eu 4.14
Eu 0.0000 0.5000 0.5000  2 S 2.93
Eu 0.5000 0.0000 0.5000  2 S 2.93
Eu 0.5000 0.5000 0.0000  2 S 2.93
S 0.5000 0.5000 0.5000  6 Eu 2.93

Results
Spin magnetization = 23.0 μB/f.u.
Space-group type = Pm-3m, No. 221
Raw formation energy = -0.6915 eV/atom
Density of states at the Fermi level = 1.05 states/eV per atom

Entry 3:
This record from Alexandria describes a relaxed structure of Er2Te5O13. The functional is GGA-PBE.

Lattice parameters (Å, degrees): 6.9820 8.7585 10.7567 89.15 87.29 75.01
Last column: nearest neighbours and their distance in Å.
Element x y z (fractional)
Er 0.0008 0.2389 0.2392  6 O 2.19-2.37
Er 0.4470 0.9712 0.8209  7 O 2.28-2.53
Er 0.5530 0.0288 0.1791  7 O 2.28-2.53
Er 0.9992 0.7611 0.7608  6 O 2.19-2.37
Te 0.1238 0.8519 0.1056  3 O 1.90-2.02
Te 0.1551 0.3032 0.6446  3 O 1.89-1.97
Te 0.2711 0.8951 0.4886  3 O 1.90-1.94
Te 0.2916 0.3747 0.9771  3 O 1.91-1.97
Te 0.4424 0.4003 0.3006  3 O 1.89-2.08
Te 0.5576 0.5997 0.6994  3 O 1.89-2.08
Te 0.7084 0.6253 0.0229  3 O 1.91-1.97
Te 0.7289 0.1049 0.5114  3 O 1.90-1.94
Te 0.8449 0.6968 0.3554  3 O 1.89-1.97
Te 0.8762 0.1481 0.8944  3 O 1.90-2.02
O 0.0416 0.8511 0.5676  1 Te 1.90
O 0.0590 0.3175 0.0401  1 Te 1.91
O 0.0679 0.5166 0.6940  1 Te 1.89
O 0.0677 0.7655 0.2749  2 Te 1.97-2.02
O 0.1258 0.9903 0.8965  1 Te 1.92
O 0.2352 0.9979 0.1864  1 Te 1.90
O 0.3148 0.2354 0.2855  1 Te 1.90
O 0.3247 0.7301 0.7772  1 Te 1.89
O 0.3305 0.2381 0.7764  1 Te 1.90
O 0.3373 0.0143 0.6193  1 Te 1.91
O 0.3521 0.4816 0.1244  2 Te 1.97-2.08
O 0.4589 0.6945 0.5209  2 Te 1.94-2.15
O 0.4688 0.1692 0.0005  1 Te 1.92
O 0.5312 0.8308 0.9995  1 Te 1.92
O 0.5411 0.3055 0.4791  2 Te 1.94-2.15
O 0.6479 0.5184 0.8756  2 Te 1.97-2.08
O 0.6627 0.9857 0.3807  1 Te 1.91
O 0.6695 0.7619 0.2236  1 Te 1.90
O 0.6753 0.2699 0.2228  1 Te 1.89
O 0.6852 0.7646 0.7145  1 Te 1.90
O 0.7648 0.0021 0.8136  1 Te 1.90
O 0.8742 0.0097 0.1035  1 Te 1.92
O 0.9323 0.2345 0.7251  2 Te 1.97-2.02
O 0.9321 0.4834 0.3060  1 Te 1.89
O 0.9410 0.6825 0.9599  1 Te 1.91
O 0.9584 0.1489 0.4324  1 Te 1.90

Results
Spin magnetization = 0.0 μB/f.u.
Space-group type = P-1, No. 2
Raw formation energy = -1.7455 eV/atom
Density of states at the Fermi level = 0.00 states/eV per atom

Entry 4:
This record from Alexandria describes a relaxed structure of CrCu2. The functional is GGA-PBE.

Lattice parameters (Å, degrees): 4.3692 4.3692 2.4833 90.00 90.00 90.00
Last column: nearest neighbours and their distance in Å.
Element x y z (fractional)
Cr 0.0000 0.0000 0.0000  2 Cr 2.48, 8 Cu 2.51
Cu 0.0000 0.5000 0.5000  2 Cu 2.48, 4 Cr 2.51
Cu 0.5000 0.0000 0.5000  2 Cu 2.48, 4 Cr 2.51

Results
Spin magnetization = 2.5 μB/f.u.
Space-group type = P4/mmm, No. 123
Density of states at the Fermi level = 1.03 states/eV per atom
Energy = -5.189 eV per atom

Entry 5:
This record from Alexandria describes a relaxed structure of YAlTe2I. The functional is GGA-PBE.

Lattice parameters (Å, degrees): 5.4326 5.4326 5.3044 90.00 90.00 90.00
Last column: nearest neighbours and their distance in Å.
Element x y z (fractional)
Y 0.0000 0.0000 0.0000  8 Te 3.80, 4 I 3.84
Al 0.5000 0.5000 0.5000  2 I 2.65, 4 Te 2.72
Te 0.0000 0.5000 0.5000  2 Al 2.72
Te 0.5000 0.0000 0.5000  2 Al 2.72
I 0.5000 0.5000 0.0000  2 Al 2.65

Results
Spin magnetization = 0.0 μB/f.u.
Space-group type = P4/mmm, No. 123
Raw formation energy = -0.2845 eV/atom
Density of states at the Fermi level = 0.33 states/eV per atom

Entry 6:
This record from Alexandria describes a relaxed structure of NbV2ReRh. The functional is GGA-PBE.

Lattice parameters (Å, degrees): 4.3909 4.3909 4.8456 90.00 90.00 90.00
Last column: nearest neighbours and their distance in Å.
Element x y z (fractional)
Nb 0.0000 0.0000 0.0000  2 Rh 2.42
V 0.0000 0.5000 0.5000  2 Rh 2.20
V 0.5000 0.0000 0.5000  2 Rh 2.20
Re 0.5000 0.5000 0.0000  4 Nb 3.10, 8 V 3.27
Rh 0.0000 0.0000 0.5000  4 V 2.20, 2 Nb 2.42

Results
Spin magnetization = 0.4 μB/f.u.
Space-group type = P4/mmm, No. 123
Density of states at the Fermi level = 1.38 states/eV per atom
Energy = -8.234 eV per atom

Entry 7:
This record from Alexandria describes a relaxed structure of Ac12Zn3N5. The functional is GGA-PBE.

Lattice parameters (Å, degrees): 14.7738 14.7738 14.7738 109.47 109.47 109.47
Last column: nearest neighbours and their distance in Å.
Element x y z (fractional)
Ac 0.0150 0.2001 0.1132  1 N 2.45
Ac 0.0150 0.3149 0.9018  1 N 2.45
Ac 0.0869 0.7001 0.6851  1 N 2.45
Ac 0.0869 0.8868 0.4018  1 N 2.45
Ac 0.0982 0.6132 0.4131  1 N 2.45
Ac 0.0982 0.9850 0.6851  1 N 2.45
Ac 0.1132 0.0150 0.2001  1 N 2.45
Ac 0.1132 0.5982 0.9131  1 N 2.45
Ac 0.1851 0.2001 0.5869  1 N 2.45
Ac 0.1851 0.4850 0.5982  1 N 2.45
Ac 0.2001 0.1132 0.0150  1 N 2.45
Ac 0.2001 0.5869 0.1851  1 N 2.45
Ac 0.2999 0.3149 0.9131  1 N 2.45
Ac 0.2999 0.4850 0.3868  1 N 2.45
Ac 0.3149 0.9018 0.0150  1 N 2.45
Ac 0.3149 0.9131 0.2999  1 N 2.45
Ac 0.3868 0.2999 0.4850  1 N 2.45
Ac 0.3868 0.5869 0.9018  1 N 2.45
Ac 0.4018 0.0869 0.8868  1 N 2.45
Ac 0.4018 0.8149 0.5150  1 N 2.45
Ac 0.4131 0.0982 0.6132  1 N 2.45
Ac 0.4131 0.8149 0.7999  1 N 2.45
Ac 0.4850 0.3868 0.2999  1 N 2.45
Ac 0.4850 0.5982 0.1851  1 N 2.45
Ac 0.5150 0.4018 0.8149  1 N 2.45
Ac 0.5150 0.6132 0.7001  1 N 2.45
Ac 0.5869 0.1851 0.2001  1 N 2.45
Ac 0.5869 0.9018 0.3868  1 N 2.45
Ac 0.5982 0.1851 0.4850  1 N 2.45
Ac 0.5982 0.9131 0.1132  1 N 2.45
Ac 0.6132 0.4131 0.0982  1 N 2.45
Ac 0.6132 0.7001 0.5150  1 N 2.45
Ac 0.6851 0.0869 0.7001  1 N 2.45
Ac 0.6851 0.0982 0.9850  1 N 2.45
Ac 0.7001 0.5150 0.6132  1 N 2.45
Ac 0.7001 0.6851 0.0869  1 N 2.45
Ac 0.7999 0.4131 0.8149  1 N 2.45
Ac 0.7999 0.8868 0.9850  1 N 2.45
Ac 0.8149 0.5150 0.4018  1 N 2.45
Ac 0.8149 0.7999 0.4131  1 N 2.45
Ac 0.8868 0.4018 0.0869  1 N 2.45
Ac 0.8868 0.9850 0.7999  1 N 2.45
Ac 0.9018 0.0150 0.3149  1 N 2.45
Ac 0.9018 0.3868 0.5869  1 N 2.45
Ac 0.9131 0.1132 0.5982  1 N 2.45
Ac 0.9131 0.2999 0.3149  1 N 2.45
Ac 0.9850 0.6851 0.0982  1 N 2.45
Ac 0.9850 0.7999 0.8868  1 N 2.45
Zn 0.1250 0.2500 0.3750  8 Ac 3.35-3.48
Zn 0.1250 0.3750 0.7500  8 Ac 3.35-3.48
Zn 0.2500 0.3750 0.1250  8 Ac 3.35-3.48
Zn 0.2500 0.8750 0.6250  8 Ac 3.35-3.48
Zn 0.3750 0.1250 0.2500  8 Ac 3.35-3.48
Zn 0.3750 0.7500 0.1250  8 Ac 3.35-3.48
Zn 0.6250 0.2500 0.8750  8 Ac 3.35-3.48
Zn 0.6250 0.8750 0.7500  8 Ac 3.35-3.48
Zn 0.7500 0.1250 0.3750  8 Ac 3.35-3.48
Zn 0.7500 0.6250 0.8750  8 Ac 3.35-3.48
Zn 0.8750 0.6250 0.2500  8 Ac 3.35-3.48
Zn 0.8750 0.7500 0.6250  8 Ac 3.35-3.48
N 0.0000 0.0000 0.0000  6 Ac 2.76
N 0.0000 0.0000 0.5000  6 Ac 2.76
N 0.0000 0.5000 0.0000  6 Ac 2.76
N 0.0000 0.5000 0.5000  6 Ac 2.76
N 0.1250 0.7500 0.8750  4 Ac 2.45
N 0.1250 0.8750 0.2500  4 Ac 2.45
N 0.2500 0.1250 0.8750  4 Ac 2.45
N 0.2500 0.6250 0.3750  4 Ac 2.45
N 0.3750 0.2500 0.6250  4 Ac 2.45
N 0.3750 0.6250 0.7500  4 Ac 2.45
N 0.5000 0.0000 0.0000  6 Ac 2.76
N 0.5000 0.0000 0.5000  6 Ac 2.76
N 0.5000 0.5000 0.0000  6 Ac 2.76
N 0.5000 0.5000 0.5000  6 Ac 2.76
N 0.6250 0.3750 0.2500  4 Ac 2.45
N 0.6250 0.7500 0.3750  4 Ac 2.45
N 0.7500 0.3750 0.6250  4 Ac 2.45
N 0.7500 0.8750 0.1250  4 Ac 2.45
N 0.8750 0.1250 0.7500  4 Ac 2.45
N 0.8750 0.2500 0.1250  4 Ac 2.45

Results
Spin magnetization = 0.0 μB/f.u.
Space-group type = Ia-3d, No. 230
Raw formation energy = -0.5519 eV/atom
Density of states at the Fermi level = 0.90 states/eV per atom

Entry 8:
This record from Alexandria describes a relaxed structure of CuTc2Se. The functional is GGA-PBE.

Lattice parameters (Å, degrees): 4.3197 4.3197 4.9886 100.02 100.02 39.59
Last column: nearest neighbours and their distance in Å.
Element x y z (fractional)
Cu 0.0000 0.0000 0.0000  6 Tc 2.58-2.64, 4 Se 2.89
Tc 0.2490 0.2490 0.7450  3 Se 2.57-2.61, 3 Cu 2.58-2.64, 2 Tc 2.85
Tc 0.7510 0.7510 0.2550  3 Se 2.57-2.61, 3 Cu 2.58-2.64, 2 Tc 2.85
Se 0.5000 0.5000 0.5000  6 Tc 2.57-2.61

Results
Spin magnetization = 0.0 μB/f.u.
Space-group type = C2/m, No. 12
Raw formation energy = 0.3546 eV/atom
Density of states at the Fermi level = 0.91 states/eV per atom